[1]
This record from the Alexandria database describes an optimized crystal structure of TbMg2Sc4. The functional is PBE.

Calculated values
Energy of formation   0.04 eV per atom

The structure in CIF format:
```
data_TbMg2Sc4
_cell_length_a 3.2413
_cell_length_b 4.8523
_cell_length_c 11.4580
_cell_angle_alpha 102.22
_cell_angle_beta 90.00
_cell_angle_gamma 90.00
_symmetry_space_group_name_H-M 'P 1'
_symmetry_Int_Tables_number 1
loop_
_symmetry_equiv_pos_as_xyz
'x,y,z'
loop_
_atom_site_label
_atom_site_type_symbol
_atom_site_fract_x
_atom_site_fract_y
_atom_site_fract_z
Sc1 Sc 0.0000 0.6500 0.3000
Sc2 Sc 0.0000 0.3500 0.7000
Sc3 Sc 0.5000 0.9246 0.8492
Sc4 Sc 0.5000 0.0754 0.1508
Mg1 Mg 0.5000 0.7864 0.5728
Mg2 Mg 0.5000 0.2136 0.4272
Tb1 Tb 0.0000 0.5000 0.0000
```

=====

[2]
This record from the Alexandria database describes an optimized crystal structure of BaReRh. The functional is PBE.

Calculated values
Energy of formation   0.12 eV per atom

The structure in CIF format:
```
data_BaReRh
_cell_length_a 11.1206
_cell_length_b 4.3069
_cell_length_c 4.3074
_cell_angle_alpha 120.01
_cell_angle_beta 101.33
_cell_angle_gamma 90.14
_symmetry_space_group_name_H-M 'P 1'
_symmetry_Int_Tables_number 1
loop_
_symmetry_equiv_pos_as_xyz
'x,y,z'
loop_
_atom_site_label
_atom_site_type_symbol
_atom_site_fract_x
_atom_site_fract_y
_atom_site_fract_z
Ba1 Ba 0.8834 0.1355 0.7430
Ba2 Ba 0.4869 0.6788 0.8201
Rh1 Rh 0.0607 0.8637 0.1969
Rh2 Rh 0.3096 0.9502 0.3663
Re1 Re 0.1786 0.5713 0.6104
Re2 Re 0.1917 0.2425 0.9527
```

=====

[3]
This record from the Alexandria database describes an optimized crystal structure of LiCrSiPd. The functional is PBE.

Calculated values
ΔE_f (raw)   -34.4 kJ per mole of atoms

The structure in CIF format:
```
data_LiCrSiPd
_cell_length_a 4.1963
_cell_length_b 4.1963
_cell_length_c 4.1963
_cell_angle_alpha 60.00
_cell_angle_beta 60.00
_cell_angle_gamma 60.00
_symmetry_space_group_name_H-M 'P 1'
_symmetry_Int_Tables_number 1
loop_
_symmetry_equiv_pos_as_xyz
'x,y,z'
loop_
_atom_site_label
_atom_site_type_symbol
_atom_site_fract_x
_atom_site_fract_y
_atom_site_fract_z
Cr1 Cr 0.5000 0.5000 0.5000
Si1 Si 0.7500 0.7500 0.7500
Li1 Li 0.2500 0.2500 0.2500
Pd1 Pd 0.0000 0.0000 0.0000
```

=====

Number 1: spin magnetization 0.00 Bohr magnetons per cell. Number 2: spin magnetization 0.00 Bohr magnetons per cell. Number 3: spin magnetization 3.13 Bohr magnetons per cell.